[1]
A geometry-optimized Sm5GeSb4 structure. Source: Alexandria, functional PBE-GGA.

Calculated values
The calculation puts the energy above the most stable polymorph in this dataset at 0.002 eV per atom. For the electronic total energy, the calculation gives -55.3 eV per cell. The total moment comes out at 0.000 μB/f.u. As for the space-group type: I4/mmm. The uncorrected formation energy comes out at -1.0608 eV per atom.

Cell lengths 15.9441, 15.9441, 15.9441 Å; angles 164.03, 164.03, 22.67 degrees
Closest atoms and distances in Å follow each position.
Fractional coordinates of all 10 atoms:
Sm1 0.0000 0.0000 0.0000  2 Sb 3.12, 4 Ge 3.13
Sm2 0.2002 0.2002 0.0000  6 Sb 3.13-3.17
Sm3 0.4036 0.4036 0.0000  1 Ge 3.01, 5 Sb 3.13-3.19
Sm4 0.5964 0.5964 0.0000  1 Ge 3.01, 5 Sb 3.13-3.19
Sm5 0.7998 0.7998 0.0000  6 Sb 3.13-3.17
Ge1 0.5000 0.5000 0.0000  6 Sm 3.01-3.13
Sb1 0.0999 0.0999 0.0000  6 Sm 3.12-3.14
Sb2 0.3016 0.3016 0.0000  6 Sm 3.13-3.19
Sb3 0.6984 0.6984 0.0000  6 Sm 3.13-3.19
Sb4 0.9001 0.9001 0.0000  6 Sm 3.12-3.14

***

[2]
A geometry-optimized LiScOs4 structure. Source: Alexandria, functional PBE-GGA.

Calculated values
For the electronic total energy, the calculation gives -52.7 eV per cell. For the calculated formation energy, the calculation gives 0.07 eV per atom. The total moment comes out at 0.000 μB/f.u. As for the space-group type: F-43m.

Cell lengths 5.1851, 5.1851, 5.1851 Å; angles 60.00, 60.00, 60.00 degrees
Closest atoms and distances in Å follow each position.
Fractional coordinates of all 6 atoms:
Li1 0.0000 0.0000 0.0000  12 Os 3.04, 4 Sc 3.18
Sc1 0.2500 0.2500 0.2500  12 Os 3.04, 4 Li 3.18
Os1 0.1244 0.6252 0.6252  6 Os 2.59-2.60
Os2 0.6252 0.1244 0.6252  6 Os 2.59-2.60
Os3 0.6252 0.6252 0.1244  6 Os 2.59-2.60
Os4 0.6252 0.6252 0.6252  6 Os 2.59-2.60

***

[3]
A geometry-optimized MgPt2WN structure. Source: Alexandria, functional PBE-GGA.

Calculated values
For the electronic total energy, the calculation gives -27.4 eV per cell. The total moment comes out at 0.001 μB/f.u. As for the space-group type: P4/mmm. The uncorrected formation energy comes out at 1.5203 eV per atom.

Cell lengths 4.7200, 4.7200, 3.6486 Å; angles 90.00, 90.00, 90.00 degrees
Closest atoms and distances in Å follow each position.
Fractional coordinates of all 5 atoms:
Mg1 0.0000 0.0000 0.0000  2 N 1.82
Pt1 0.0000 0.5000 0.0000  2 Mg 2.36
Pt2 0.5000 0.0000 0.0000  2 Mg 2.36
W1 0.5000 0.5000 0.5000  8 Pt 2.98, 4 N 3.34
N1 0.0000 0.0000 0.5000  2 Mg 1.82